A geometry-optimized LaYSc2 structure. Source: Alexandria via LeMat-Bulk, functional PBEsol.

Geometry as POSCAR:
```
LaYSc2
1.0
4.828 0.000 0.000
0.000 4.828 0.000
0.000 0.000 9.565
La Y Sc
2 2 4
Direct
0.000 0.000 0.000
0.500 0.500 0.500
0.000 0.500 0.750
0.500 0.000 0.250
0.000 0.000 0.500
0.000 0.500 0.250
0.500 0.000 0.750
0.500 0.500 0.000
```

Values from the calculation:
E = -50.1 eV for the cell shown
energy above the lowest structure with this stoichiometry = 0.15 eV per formula unit
energy of formation from the pure elements = 0.334 eV per formula unit
D(E_F) = 15.53 states/eV/cell
mass density = 4732 kg/m3